## Hf2Si2Tc (PBE-GGA)

Data for a relaxed Hf2Si2Tc crystal.

## Properties
Offset from the most stable computed form, meV/atom: 0

Cell lengths 6.504, 6.504, 3.892 Å; angles 90.00, 90.00, 90.00 degrees
Element x y z (fractional)
Tc1 0.500 0.500 0.000
Si1 0.369 0.869 0.000
Hf1 0.173 0.673 0.500
Hf2 0.327 0.173 0.500
Hf3 0.673 0.827 0.500
Si2 0.869 0.631 0.000
Si3 0.631 0.131 0.000
Si4 0.131 0.369 0.000
Hf4 0.827 0.327 0.500
Tc2 0.000 0.000 0.000